A geometry-optimized PtSeSN2 structure, computed with PBE.

Geometry as POSCAR:
```
PtSeSN2
1.0
3.460 0.000 0.000
0.000 3.460 0.000
0.000 0.000 7.494
Pt Se S N
1 1 1 2
Direct
0.000 0.000 0.000
0.500 0.500 0.000
0.500 0.500 0.500
0.000 0.500 0.500
0.500 0.000 0.500
```

Electronic total energy: -0.171 Ha/atom
Energy above the lowest structure with this stoichiometry: 244 meV/atom
Magnetic moment: 0.1 μB per formula unit